Here is a geometry-optimized CeFeAsO structure from the Alexandria database. Energies are from GGA+U.

Cell and atoms, written as extended XYZ:
```
8
Lattice="3.968 0.000 0.000 0.000 3.968 0.000 0.000 0.000 8.989" Properties=species:S:1:pos:R:3 pbc="T T T"
Ce 0.992 0.992 1.246
Ce 2.976 2.976 7.743
Fe 0.992 2.976 4.494
Fe 2.976 0.992 4.494
As 0.992 0.992 6.191
As 2.976 2.976 2.798
O 0.992 2.976 0.000
O 2.976 0.992 0.000
```

Computed properties:
As for the total energy: -0.511 Ry/atom. For the size of the total moment, the calculation gives 3.0 μB per formula unit. As for the symmetry: P4/nmm, No. 129. The value obtained for the density is 6.73 g/cm³.